# GGA-PBE Ho3Al7Ga2, relaxed
# Energy of formation ... -0.38 eV/atom
# Calculated volume ... 19.8 Å³/atom
# ΔE to the lowest computed polymorph ... 0.026 eV per atom
# Fermi-level density of states ... 4.0 states/eV/cell
data_Ho3Al7Ga2
_chemical_formula_sum 'Ho3 Al7 Ga2'
_cell_length_a 4.220
_cell_length_b 4.073
_cell_length_c 14.003
_cell_angle_alpha 90.00
_cell_angle_beta 98.65
_cell_angle_gamma 90.00
_symmetry_space_group_name_H-M 'P 1 2/m 1'
_symmetry_Int_Tables_number 10
loop_
_symmetry_equiv_pos_as_xyz
'x,y,z'
'-x,-y,-z'
'-x,y,-z'
'x,-y,z'
loop_
_atom_site_label
_atom_site_fract_x
_atom_site_fract_y
_atom_site_fract_z
_atom_site_occupancy
Ho1 0.000 0.000 0.000 1
Ho2 0.319 0.500 0.638 1
Al1 0.079 0.500 0.161 1
Al2 0.228 0.000 0.455 1
Al3 0.418 0.000 0.838 1
Al4 0.500 0.500 0.000 1
Ga1 0.140 0.000 0.277 1